Entry w
A plane-wave DFT calculation with SCAN was carried out for a crystal of YBeTe2 relaxed with PBEsol.

Its space group is R-3m (166). As for the crystal system: trigonal. The value obtained for the spin magnetization is 0.00 Bohr magnetons per cell.

Unit cell a=3.8928 b=3.8928 c=21.5096 alpha=90.00 beta=90.00 gamma=120.00
Last column: nearest neighbours and their distance in Å.
Sites, in units of the cell vectors:
Y (0.0000, 0.0000, 0.0000)  6 Te 3.07
Y (0.3333, 0.6667, 0.6667)  6 Te 3.07
Y (0.6667, 0.3333, 0.3333)  6 Te 3.07
Be (0.0000, 0.0000, 0.5000)  6 Te 2.70
Be (0.3333, 0.6667, 0.1667)  6 Te 2.70
Be (0.6667, 0.3333, 0.8333)  6 Te 2.70
Te (0.0000, 0.0000, 0.2360)  3 Be 2.70
Te (0.0000, 0.0000, 0.7640)  3 Be 2.70
Te (0.3333, 0.6667, 0.4307)  3 Be 2.70
Te (0.3333, 0.6667, 0.9027)  3 Be 2.70
Te (0.6667, 0.3333, 0.0973)  3 Be 2.70
Te (0.6667, 0.3333, 0.5693)  3 Be 2.70

---

Entry x
A plane-wave DFT calculation with SCAN was carried out for a crystal of YBeTe2 relaxed with PBEsol.

Its space group is P2/m (10). As for the crystal system: monoclinic. The value obtained for the spin magnetization is 0.00 Bohr magnetons per cell.

Unit cell a=3.8640 b=3.6666 c=6.9946 alpha=90.00 beta=104.47 gamma=90.00
Last column: nearest neighbours and their distance in Å.
Sites, in units of the cell vectors:
Y (0.0000, 0.0000, 0.0000)  8 Te 3.16-3.26
Be (0.5000, 0.0000, 0.5000)  4 Te 2.56
Te (0.4031, 0.5000, 0.7365)  2 Be 2.56
Te (0.5969, 0.5000, 0.2635)  2 Be 2.56

---

It is entry x that is the least stable of them.

---

Entry w
A plane-wave DFT calculation with SCAN was carried out for a crystal of YBe2Te relaxed with PBEsol.

Its space group is Pmmm (47). As for the crystal system: orthorhombic. The value obtained for the spin magnetization is 0.00 Bohr magnetons per cell.

Unit cell a=3.7937 b=3.9454 c=5.1950 alpha=90.00 beta=90.00 gamma=90.00
Last column: nearest neighbours and their distance in Å.
Sites, in units of the cell vectors:
Y (0.0000, 0.0000, 0.0000)  8 Be 2.91, 4 Te 3.26
Be (0.5000, 0.5000, 0.1922)  1 Be 2.00
Be (0.5000, 0.5000, 0.8078)  1 Be 2.00
Te (0.0000, 0.5000, 0.5000)  4 Be 2.48

---

Entry x
A plane-wave DFT calculation with SCAN was carried out for a crystal of YBe2Te relaxed with PBEsol.

Its space group is Imm2 (44). As for the crystal system: orthorhombic. The value obtained for the spin magnetization is 0.00 Bohr magnetons per cell.

Unit cell a=3.7745 b=3.8224 c=9.9202 alpha=90.00 beta=90.00 gamma=90.00
Last column: nearest neighbours and their distance in Å.
Sites, in units of the cell vectors:
Y (0.0000, 0.0000, 0.0000)  6 Be 2.81-2.95, 2 Te 3.09
Y (0.5000, 0.5000, 0.5000)  6 Be 2.81-2.95, 2 Te 3.09
Be (0.0000, 0.0000, 0.4164)  2 Be 2.36, 2 Te 2.56
Be (0.0000, 0.5000, 0.7739)  2 Be 2.36
Be (0.5000, 0.0000, 0.2739)  2 Be 2.36
Be (0.5000, 0.5000, 0.9164)  2 Be 2.36, 2 Te 2.56
Te (0.0000, 0.5000, 0.2449)  6 Be 2.56-2.70
Te (0.5000, 0.0000, 0.7449)  6 Be 2.56-2.70

---

It is entry x that is the least stable of them.

---

Entry w
A plane-wave DFT calculation with SCAN was carried out for a crystal of TiBe12 relaxed with PBEsol.

Its space group is P6/mmm (191). As for the crystal system: hexagonal. The value obtained for the spin magnetization is 1.02 Bohr magnetons per cell.

Unit cell a=4.2169 b=4.2169 c=7.2862 alpha=90.00 beta=90.00 gamma=120.00
Last column: nearest neighbours and their distance in Å.
Sites, in units of the cell vectors:
Ti (0.0000, 0.0000, 0.0000)  8 Be 2.43-2.53
Be (0.0000, 0.0000, 0.3468)  7 Be 2.23-2.25
Be (0.0000, 0.0000, 0.6532)  7 Be 2.23-2.25
Be (0.0000, 0.5000, 0.2401)  10 Be 2.11-2.25
Be (0.0000, 0.5000, 0.7599)  10 Be 2.11-2.25
Be (0.3333, 0.6667, 0.0000)  6 Be 2.13
Be (0.3333, 0.6667, 0.5000)  9 Be 2.25-2.43
Be (0.5000, 0.0000, 0.2401)  10 Be 2.11-2.25
Be (0.5000, 0.0000, 0.7599)  10 Be 2.11-2.25
Be (0.5000, 0.5000, 0.2401)  10 Be 2.11-2.25
Be (0.5000, 0.5000, 0.7599)  10 Be 2.11-2.25
Be (0.6667, 0.3333, 0.0000)  6 Be 2.13
Be (0.6667, 0.3333, 0.5000)  9 Be 2.25-2.43

---

Entry x
A plane-wave DFT calculation with SCAN was carried out for a crystal of TiBe12 relaxed with PBEsol.

Its space group is I4/mmm (139). As for the crystal system: tetragonal. The value obtained for the spin magnetization is 0.16 Bohr magnetons per cell.

Unit cell a=5.5630 b=5.5630 c=5.5630 alpha=97.89 beta=97.89 gamma=136.50
Last column: nearest neighbours and their distance in Å.
Sites, in units of the cell vectors:
Ti (0.0000, 0.0000, 0.0000)  20 Be 2.57-2.78
Be (0.0000, 0.0000, 0.5000)  10 Be 2.06-2.22
Be (0.0000, 0.3513, 0.3513)  9 Be 2.17-2.33
Be (0.0000, 0.5000, 0.0000)  10 Be 2.06-2.22
Be (0.0000, 0.6487, 0.6487)  9 Be 2.17-2.33
Be (0.2828, 0.5000, 0.7828)  10 Be 2.11-2.33
Be (0.3513, 0.0000, 0.3513)  9 Be 2.17-2.33
Be (0.5000, 0.0000, 0.0000)  10 Be 2.06-2.22
Be (0.5000, 0.2828, 0.7828)  10 Be 2.11-2.33
Be (0.5000, 0.5000, 0.5000)  10 Be 2.06-2.22
Be (0.5000, 0.7172, 0.2172)  10 Be 2.11-2.33
Be (0.6487, 0.0000, 0.6487)  9 Be 2.17-2.33
Be (0.7172, 0.5000, 0.2172)  10 Be 2.11-2.33

---

It is entry w that is the least stable of them.

---

Entry w
A plane-wave DFT calculation with SCAN was carried out for a crystal of BeTl relaxed with PBEsol.

Its space group is P4/mmm (123). As for the crystal system: tetragonal. The value obtained for the spin magnetization is 0.00 Bohr magnetons per cell.

Unit cell a=3.1132 b=3.1132 c=3.7453 alpha=90.00 beta=90.00 gamma=90.00
Last column: nearest neighbours and their distance in Å.
Sites, in units of the cell vectors:
Be (0.0000, 0.0000, 0.0000)  8 Tl 2.89, 4 Be 3.11
Tl (0.5000, 0.5000, 0.5000)  8 Be 2.89, 4 Tl 3.11

---

Entry x
A plane-wave DFT calculation with SCAN was carried out for a crystal of BeTl relaxed with PBEsol.

Its space group is C2/m (12). As for the crystal system: monoclinic. The value obtained for the spin magnetization is 0.00 Bohr magnetons per cell.

Unit cell a=12.6142 b=3.0300 c=4.0956 alpha=90.00 beta=107.74 gamma=90.00
Last column: nearest neighbours and their distance in Å.
Sites, in units of the cell vectors:
Be (0.1819, 0.0000, 0.4374)  2 Be 2.23
Be (0.3181, 0.5000, 0.5626)  2 Be 2.23
Be (0.6819, 0.5000, 0.4374)  2 Be 2.23
Be (0.8181, 0.0000, 0.5626)  2 Be 2.23
Tl (0.1108, 0.5000, 0.8684)  4 Be 2.68-2.69
Tl (0.3892, 0.0000, 0.1316)  4 Be 2.68-2.69
Tl (0.6108, 0.0000, 0.8684)  4 Be 2.68-2.69
Tl (0.8892, 0.5000, 0.1316)  4 Be 2.68-2.69

---

It is entry w that is the least stable of them.

---

Entry w
A plane-wave DFT calculation with SCAN was carried out for a crystal of Be2Tl relaxed with PBEsol.

Its space group is I4/mcm (140). As for the crystal system: tetragonal. The value obtained for the spin magnetization is 0.00 Bohr magnetons per cell.

Unit cell a=4.2938 b=4.2938 c=9.7758 alpha=90.00 beta=90.00 gamma=90.00
Last column: nearest neighbours and their distance in Å.
Sites, in units of the cell vectors:
Be (0.1764, 0.3236, 0.0000)  5 Be 2.14-2.24
Be (0.1764, 0.6764, 0.5000)  5 Be 2.14-2.24
Be (0.3236, 0.1764, 0.5000)  5 Be 2.14-2.24
Be (0.3236, 0.8236, 0.0000)  5 Be 2.14-2.24
Be (0.6764, 0.1764, 0.0000)  5 Be 2.14-2.24
Be (0.6764, 0.8236, 0.5000)  5 Be 2.14-2.24
Be (0.8236, 0.3236, 0.5000)  5 Be 2.14-2.24
Be (0.8236, 0.6764, 0.0000)  5 Be 2.14-2.24
Tl (0.0000, 0.0000, 0.2500)  8 Be 2.91, 4 Tl 3.04
Tl (0.0000, 0.0000, 0.7500)  8 Be 2.91, 4 Tl 3.04
Tl (0.5000, 0.5000, 0.2500)  8 Be 2.91, 4 Tl 3.04
Tl (0.5000, 0.5000, 0.7500)  8 Be 2.91, 4 Tl 3.04

---

Entry x
A plane-wave DFT calculation with SCAN was carried out for a crystal of Be2Tl relaxed with PBEsol.

Its space group is P6/mmm (191). As for the crystal system: hexagonal. The value obtained for the spin magnetization is 0.00 Bohr magnetons per cell.

Unit cell a=3.8482 b=3.8482 c=3.4944 alpha=90.00 beta=90.00 gamma=120.00
Last column: nearest neighbours and their distance in Å.
Sites, in units of the cell vectors:
Be (0.3333, 0.6667, 0.0000)  3 Be 2.22
Be (0.6667, 0.3333, 0.0000)  3 Be 2.22
Tl (0.0000, 0.0000, 0.5000)  12 Be 2.83

---

It is entry x that is the least stable of them.

---

Entry w
A plane-wave DFT calculation with SCAN was carried out for a crystal of BeTlW relaxed with PBEsol.

Its space group is F-43m (216). As for the crystal system: cubic. The value obtained for the spin magnetization is 7.23 Bohr magnetons per cell.

Unit cell a=6.1759 b=6.1759 c=6.1759 alpha=90.00 beta=90.00 gamma=90.00
Last column: nearest neighbours and their distance in Å.
Sites, in units of the cell vectors:
Be (0.0000, 0.0000, 0.0000)  4 W 2.67
Be (0.0000, 0.5000, 0.5000)  4 W 2.67
Be (0.5000, 0.0000, 0.5000)  4 W 2.67
Be (0.5000, 0.5000, 0.0000)  4 W 2.67
Tl (0.0000, 0.0000, 0.5000)  4 W 2.67
Tl (0.0000, 0.5000, 0.0000)  4 W 2.67
Tl (0.5000, 0.0000, 0.0000)  4 W 2.67
Tl (0.5000, 0.5000, 0.5000)  4 W 2.67
W (0.2500, 0.2500, 0.2500)  4 Tl 2.67, 4 Be 2.67
W (0.2500, 0.7500, 0.7500)  4 Tl 2.67, 4 Be 2.67
W (0.7500, 0.2500, 0.7500)  4 Tl 2.67, 4 Be 2.67
W (0.7500, 0.7500, 0.2500)  4 Tl 2.67, 4 Be 2.67

---

Entry x
A plane-wave DFT calculation with SCAN was carried out for a crystal of BeTlW relaxed with PBEsol.

Its space group is F-43m (216). As for the crystal system: cubic. The value obtained for the spin magnetization is 4.60 Bohr magnetons per cell.

Unit cell a=5.7936 b=5.7936 c=5.7936 alpha=90.00 beta=90.00 gamma=90.00
Last column: nearest neighbours and their distance in Å.
Sites, in units of the cell vectors:
Be (0.0000, 0.0000, 0.0000)  4 Tl 2.51, 4 W 2.51
Be (0.0000, 0.5000, 0.5000)  4 Tl 2.51, 4 W 2.51
Be (0.5000, 0.0000, 0.5000)  4 Tl 2.51, 4 W 2.51
Be (0.5000, 0.5000, 0.0000)  4 Tl 2.51, 4 W 2.51
Tl (0.2500, 0.2500, 0.2500)  4 Be 2.51
Tl (0.2500, 0.7500, 0.7500)  4 Be 2.51
Tl (0.7500, 0.2500, 0.7500)  4 Be 2.51
Tl (0.7500, 0.7500, 0.2500)  4 Be 2.51
W (0.2500, 0.2500, 0.7500)  4 Be 2.51
W (0.2500, 0.7500, 0.2500)  4 Be 2.51
W (0.7500, 0.2500, 0.2500)  4 Be 2.51
W (0.7500, 0.7500, 0.7500)  4 Be 2.51

---

It is entry w that is the least stable of them.

---

Entry w
A plane-wave DFT calculation with SCAN was carried out for a crystal of Y2BeTl relaxed with PBEsol.

Its space group is R-3m (166). As for the crystal system: trigonal. The value obtained for the spin magnetization is 0.00 Bohr magnetons per cell.

Unit cell a=3.6263 b=3.6263 c=26.1062 alpha=90.00 beta=90.00 gamma=120.00
Last column: nearest neighbours and their distance in Å.
Sites, in units of the cell vectors:
Y (0.0000, 0.0000, 0.2382)  3 Be 2.81
Y (0.0000, 0.0000, 0.7618)  3 Be 2.81
Y (0.3333, 0.6667, 0.4285)  3 Be 2.81
Y (0.3333, 0.6667, 0.9049)  3 Be 2.81
Y (0.6667, 0.3333, 0.0951)  3 Be 2.81
Y (0.6667, 0.3333, 0.5715)  3 Be 2.81
Be (0.0000, 0.0000, 0.5000)  6 Y 2.81
Be (0.3333, 0.6667, 0.1667)  6 Y 2.81
Be (0.6667, 0.3333, 0.8333)  6 Y 2.81
Tl (0.0000, 0.0000, 0.0000)  6 Y 3.25, 6 Tl 3.63
Tl (0.3333, 0.6667, 0.6667)  6 Y 3.25, 6 Tl 3.63
Tl (0.6667, 0.3333, 0.3333)  6 Y 3.25, 6 Tl 3.63

---

Entry x
A plane-wave DFT calculation with SCAN was carried out for a crystal of Y2BeTl relaxed with PBEsol.

Its space group is Imm2 (44). As for the crystal system: orthorhombic. The value obtained for the spin magnetization is 0.00 Bohr magnetons per cell.

Unit cell a=3.5822 b=4.8592 c=10.4242 alpha=90.00 beta=90.00 gamma=90.00
Last column: nearest neighbours and their distance in Å.
Sites, in units of the cell vectors:
Y (0.0000, 0.0000, 0.0000)  4 Tl 3.10, 2 Be 3.20, 4 Y 3.36-3.40
Y (0.0000, 0.5000, 0.2226)  4 Be 3.04, 2 Tl 3.27, 2 Y 3.36
Y (0.5000, 0.0000, 0.7226)  4 Be 3.04, 2 Tl 3.27, 2 Y 3.36
Y (0.5000, 0.5000, 0.5000)  4 Tl 3.10, 2 Be 3.20, 4 Y 3.36-3.40
Be (0.0000, 0.5000, 0.7541)  2 Tl 2.58
Be (0.5000, 0.0000, 0.2541)  2 Tl 2.58
Tl (0.0000, 0.0000, 0.4323)  2 Be 2.58
Tl (0.5000, 0.5000, 0.9323)  2 Be 2.58

---

Entry y
A plane-wave DFT calculation with SCAN was carried out for a crystal of Y2BeTl relaxed with PBEsol.

Its space group is P4/mmm (123). As for the crystal system: tetragonal. The value obtained for the spin magnetization is 0.00 Bohr magnetons per cell.

Unit cell a=3.5003 b=3.5003 c=7.3580 alpha=90.00 beta=90.00 gamma=90.00
Last column: nearest neighbours and their distance in Å.
Sites, in units of the cell vectors:
Y (0.0000, 0.0000, 0.2190)  4 Be 2.95, 1 Y 3.22, 4 Tl 3.23
Y (0.0000, 0.0000, 0.7810)  4 Be 2.95, 1 Y 3.22, 4 Tl 3.23
Be (0.5000, 0.5000, 0.0000)  8 Y 2.95
Tl (0.5000, 0.5000, 0.5000)  8 Y 3.23, 4 Tl 3.50

---

Entry z
A plane-wave DFT calculation with SCAN was carried out for a crystal of Y2BeTl relaxed with PBEsol.

Its space group is Fm-3m (225). As for the crystal system: cubic. The value obtained for the spin magnetization is 0.00 Bohr magnetons per cell.

Unit cell a=7.1800 b=7.1800 c=7.1800 alpha=90.00 beta=90.00 gamma=90.00
Last column: nearest neighbours and their distance in Å.
Sites, in units of the cell vectors:
Y (0.2500, 0.2500, 0.2500)  4 Be 3.11, 4 Tl 3.11
Y (0.2500, 0.2500, 0.7500)  4 Tl 3.11, 4 Be 3.11
Y (0.2500, 0.7500, 0.2500)  4 Tl 3.11, 4 Be 3.11
Y (0.2500, 0.7500, 0.7500)  4 Be 3.11, 4 Tl 3.11
Y (0.7500, 0.2500, 0.2500)  4 Tl 3.11, 4 Be 3.11
Y (0.7500, 0.2500, 0.7500)  4 Be 3.11, 4 Tl 3.11
Y (0.7500, 0.7500, 0.2500)  4 Be 3.11, 4 Tl 3.11
Y (0.7500, 0.7500, 0.7500)  4 Tl 3.11, 4 Be 3.11
Be (0.0000, 0.0000, 0.0000)  8 Y 3.11
Be (0.0000, 0.5000, 0.5000)  8 Y 3.11
Be (0.5000, 0.0000, 0.5000)  8 Y 3.11
Be (0.5000, 0.5000, 0.0000)  8 Y 3.11
Tl (0.0000, 0.0000, 0.5000)  8 Y 3.11
Tl (0.0000, 0.5000, 0.0000)  8 Y 3.11
Tl (0.5000, 0.0000, 0.0000)  8 Y 3.11
Tl (0.5000, 0.5000, 0.5000)  8 Y 3.11

---

It is entry w that is the least stable of them.

---

Entry w
A plane-wave DFT calculation with SCAN was carried out for a crystal of BeTl2Zn relaxed with PBEsol.

Its space group is P4mm (99). As for the crystal system: tetragonal. The value obtained for the spin magnetization is 0.00 Bohr magnetons per cell.

Unit cell a=3.0707 b=3.0707 c=8.6263 alpha=90.00 beta=90.00 gamma=90.00
Last column: nearest neighbours and their distance in Å.
Sites, in units of the cell vectors:
Be (0.0000, 0.0000, 0.0000)  4 Zn 2.38
Tl (0.0000, 0.0000, 0.6109)  4 Tl 3.07, 4 Zn 3.22, 1 Be 3.36
Tl (0.5000, 0.5000, 0.2523)  4 Tl 3.07, 4 Be 3.07, 1 Zn 3.15
Zn (0.5000, 0.5000, 0.8866)  4 Be 2.38

---

Entry x
A plane-wave DFT calculation with SCAN was carried out for a crystal of BeTl2Zn relaxed with PBEsol.

Its space group is Cmmm (65). As for the crystal system: orthorhombic. The value obtained for the spin magnetization is 0.00 Bohr magnetons per cell.

Unit cell a=4.0682 b=5.1841 c=7.6454 alpha=90.00 beta=90.00 gamma=90.00
Last column: nearest neighbours and their distance in Å.
Sites, in units of the cell vectors:
Be (0.0000, 0.0000, 0.0000)  4 Tl 2.68
Be (0.5000, 0.5000, 0.0000)  4 Tl 2.68
Tl (0.0000, 0.5000, 0.2282)  2 Be 2.68, 2 Zn 2.91
Tl (0.0000, 0.5000, 0.7718)  2 Be 2.68, 2 Zn 2.91
Tl (0.5000, 0.0000, 0.2282)  2 Be 2.68, 2 Zn 2.91
Tl (0.5000, 0.0000, 0.7718)  2 Be 2.68, 2 Zn 2.91
Zn (0.0000, 0.0000, 0.5000)  4 Tl 2.91
Zn (0.5000, 0.5000, 0.5000)  4 Tl 2.91

---

It is entry x that is the least stable of them.